K2SbTe: optimized geometry, PBE.

size of the total moment	0.00	μB per atom
space group	Pmmm
energy above the lowest structure with this stoichiometry	0.156	eV per atom
E_tot	-2.75	eV/atom

Lattice parameters (Å, degrees): 3.1568 6.5224 7.1712 90.00 90.00 90.00
Element x y z (fractional)
K 0.0000 0.0000 0.8750
K 0.5000 0.5000 0.3750
Sb 0.0000 0.0000 0.3750
Te 0.5000 0.5000 0.8750

---

La6As2PSe3: optimized geometry, PBE.

size of the total moment	0.00	μB per atom
space group	C2/m
E_tot	-6.41	eV/atom

Lattice parameters (Å, degrees): 4.3262 8.6761 9.7047 103.24 102.88 90.00
Element x y z (fractional)
La 0.3382 0.9144 0.6764
La 0.6681 0.5788 0.3362
La 0.6618 0.0856 0.3236
La 0.0014 0.2379 0.0027
La 0.9986 0.7621 0.9973
La 0.3319 0.4212 0.6638
As 0.8334 0.6667 0.6669
As 0.1666 0.3333 0.3331
P 0.5000 0.0000 0.0000
Se 0.5000 0.5000 0.0000
Se 0.8324 0.1665 0.6649
Se 0.1676 0.8335 0.3351

---

Sr2Li6Pd3: optimized geometry, PBE.

size of the total moment	0.00	μB per atom
space group	P-62m
E_form	-300	meV/atom
E_tot	-3.07	eV/atom

Lattice parameters (Å, degrees): 4.2414 7.9911 7.9911 120.00 90.00 90.00
Element x y z (fractional)
Sr 0.0000 0.6667 0.3333
Sr 0.0000 0.3333 0.6667
Li 0.5000 0.7342 0.7342
Li 0.5000 0.0000 0.2658
Li 0.0000 0.2088 0.2088
Li 0.0000 0.7912 0.0000
Li 0.5000 0.2658 0.0000
Li 0.0000 0.0000 0.7912
Pd 0.5000 0.3890 0.3890
Pd 0.5000 0.6110 0.0000
Pd 0.5000 0.0000 0.6110

---

HfBeRh: optimized geometry, PBE.

size of the total moment	0.00	μB per atom
space group	Pmma
energy above the lowest structure with this stoichiometry	0.000	eV per atom
E_form	-706	meV/atom
E_tot	-7.72	eV/atom

Lattice parameters (Å, degrees): 3.3053 6.6692 11.6137 90.00 90.00 90.00
Element x y z (fractional)
Hf 0.0000 0.2485 0.9543
Hf 0.0000 0.7515 0.0457
Hf 0.0000 0.2485 0.5457
Hf 0.0000 0.7515 0.4543
Hf 0.0000 0.1484 0.2500
Hf 0.0000 0.8516 0.7500
Be 0.5000 0.0513 0.0874
Be 0.5000 0.9487 0.9126
Be 0.5000 0.0513 0.4126
Be 0.5000 0.9487 0.5874
Be 0.0000 0.5531 0.2500
Be 0.0000 0.4469 0.7500
Rh 0.5000 0.4240 0.1256
Rh 0.5000 0.5760 0.8744
Rh 0.5000 0.4240 0.3744
Rh 0.5000 0.5760 0.6256
Rh 0.5000 0.8033 0.2500
Rh 0.5000 0.1967 0.7500